Below is an optimized crystal structure of CdNiI2O, with properties calculated at the PBE with a Hubbard U level.

The structure in CIF format:
```
data_CdNiI2O
_space_group_name_H-M_alt 'P 4/m m m'
_space_group_IT_number 123
_space_group_name_Hall '-P 4 2'
_cell_length_a 5.946
_cell_length_b 5.946
_cell_length_c 4.112
_cell_angle_alpha 90.00
_cell_angle_beta 90.00
_cell_angle_gamma 90.00
loop_
_atom_site_label
_atom_site_fract_x
_atom_site_fract_y
_atom_site_fract_z
Cd1 0.000 0.000 0.000
Ni1 0.500 0.500 0.500
I1 0.000 0.500 0.000
O1 0.000 0.000 0.500
```

Calculated values
final energy = -2.00 eV/atom
magnetization = 1.90 Bohr magnetons per cell
offset from the most stable computed form = 314 meV/atom
volume = 29.07 Å³/atom